Material: Ba2ScTa
Method: DFT, GGA-PBE
State: optimized geometry

Results
energy relative to the elements: 3.27 eV per formula unit
ρ: 5.80 g cm⁻³
density of states at the Fermi level: 1.170 states/eV/atom
electronic total energy: -4.69 eV per atom

Lattice parameters (Å, degrees): 3.6962 6.2873 12.3341 90.00 90.00 90.00
Space group Imm2 (No. 44)
Symmetry-distinct sites (fractional):
Ba 0.0000 0.0000 0.0000 [2 per cell]
Ba 0.0000 0.5000 0.2021 [2 per cell]
Sc 0.0000 0.5000 0.7904 [2 per cell]
Ta 0.0000 0.0000 0.4603 [2 per cell]

---

Material: TlCdMo3
Method: DFT, GGA-PBE
State: optimized geometry

Results
energy relative to the elements: 11.94 eV per formula unit
ρ: 8.54 g cm⁻³
density of states at the Fermi level: 1.617 states/eV/atom
electronic total energy: -4.77 eV per atom

Lattice parameters (Å, degrees): 4.8994 4.8994 4.8994 90.00 90.00 90.00
Space group Pm-3m (No. 221)
Symmetry-distinct sites (fractional):
Tl 0.0000 0.0000 0.0000 [1 per cell]
Cd 0.5000 0.5000 0.5000 [1 per cell]
Mo 0.0000 0.5000 0.5000 [3 per cell]

---

Material: RbTiTe2
Method: DFT, GGA-PBE
State: optimized geometry

Results
ρ: 4.00 g cm⁻³
density of states at the Fermi level: 0.100 states/eV/atom
electronic total energy: -4.64 eV per atom
formation energy without anion corrections: -852 meV/atom

Lattice parameters (Å, degrees): 8.1632 13.4023 6.4441 90.00 113.79 90.00
Space group C2/c (No. 15)
Symmetry-distinct sites (fractional):
Rb 0.0000 0.1409 0.2500 [4 per cell]
Ti 0.0000 0.4980 0.7500 [4 per cell]
Te 0.2051 0.3883 0.1089 [8 per cell]

---

Material: Cu2NiPt6
Method: DFT, GGA-PBE
State: optimized geometry

Results
energy relative to the elements: -0.83 eV per formula unit
ρ: 17.39 g cm⁻³
density of states at the Fermi level: 1.528 states/eV/atom
electronic total energy: -5.67 eV per atom

Lattice parameters (Å, degrees): 3.9146 11.3133 11.6947 90.00 90.00 90.00
Space group Fmmm (No. 69)
Symmetry-distinct sites (fractional):
Cu 0.0000 0.0000 0.1670 [8 per cell]
Ni 0.0000 0.0000 0.5000 [4 per cell]
Pt 0.0000 0.1580 0.0000 [8 per cell]
Pt 0.0000 0.1594 0.3338 [16 per cell]

---

Material: Ba2ZnCdNi
Method: DFT, GGA-PBE
State: optimized geometry

Results
energy relative to the elements: -0.52 eV per formula unit
ρ: 5.04 g cm⁻³
density of states at the Fermi level: 0.818 states/eV/atom
electronic total energy: -2.47 eV per atom

Lattice parameters (Å, degrees): 5.9670 5.9670 4.7317 90.00 90.00 90.00
Space group P4/mmm (No. 123)
Symmetry-distinct sites (fractional):
Ba 0.0000 0.5000 0.0000 [2 per cell]
Zn 0.0000 0.0000 0.5000 [1 per cell]
Cd 0.5000 0.5000 0.5000 [1 per cell]
Ni 0.0000 0.0000 0.0000 [1 per cell]

---

Material: NaAcTb4S8
Method: DFT, GGA-PBE
State: optimized geometry

Results
ρ: 4.75 g cm⁻³
density of states at the Fermi level: 0.000 states/eV/atom
electronic total energy: -6.01 eV per atom
formation energy without anion corrections: -1945 meV/atom

Lattice parameters (Å, degrees): 8.1620 8.1620 20.7774 90.00 90.00 120.00
Space group R3m (No. 160, hexagonal axes)
Symmetry-distinct sites (fractional):
Na 0.0000 0.0000 0.0000 [3 per cell]
Ac 0.0000 0.0000 0.6296 [3 per cell]
Tb 0.0000 0.0000 0.2535 [3 per cell]
Tb 0.1727 0.3454 0.4590 [9 per cell]
S 0.0000 0.0000 0.3848 [3 per cell]
S 0.0000 0.0000 0.8648 [3 per cell]
S 0.0211 0.5105 0.3872 [9 per cell]
S 0.1715 0.3430 0.2029 [9 per cell]

---

Material: AcGa4Pd2Au
Method: DFT, GGA-PBE
State: optimized geometry

Results
energy relative to the elements: -4.21 eV per formula unit
ρ: 9.64 g cm⁻³
density of states at the Fermi level: 0.334 states/eV/atom
electronic total energy: -4.26 eV per atom

Lattice parameters (Å, degrees): 4.3790 4.3790 28.5084 90.00 90.00 120.00
Space group R-3m (No. 166, hexagonal axes)
Symmetry-distinct sites (fractional):
Ac 0.0000 0.0000 0.0000 [3 per cell]
Ga 0.0000 0.0000 0.1254 [6 per cell]
Ga 0.0000 0.0000 0.4040 [6 per cell]
Pd 0.0000 0.0000 0.2390 [6 per cell]
Au 0.0000 0.0000 0.5000 [3 per cell]

---

Material: PrTlBi2O4
Method: DFT, GGA-PBE
State: optimized geometry

Results
ρ: 8.93 g cm⁻³
density of states at the Fermi level: 0.282 states/eV/atom
electronic total energy: -5.91 eV per atom
formation energy without anion corrections: -1563 meV/atom

Lattice parameters (Å, degrees): 4.1354 4.1354 8.9972 90.00 90.00 90.00
Space group P4/mmm (No. 123)
Symmetry-distinct sites (fractional):
Pr 0.0000 0.0000 0.0000 [1 per cell]
Tl 0.0000 0.0000 0.5000 [1 per cell]
Bi 0.5000 0.5000 0.2745 [2 per cell]
O 0.0000 0.5000 0.1626 [4 per cell]

---

Material: HgAsPb2
Method: DFT, GGA-PBE
State: optimized geometry

Results
energy relative to the elements: 0.18 eV per formula unit
ρ: 9.88 g cm⁻³
density of states at the Fermi level: 0.636 states/eV/atom
electronic total energy: -3.05 eV per atom

Lattice parameters (Å, degrees): 4.3524 24.1846 4.4073 90.00 90.00 90.00
Space group Cmcm (No. 63)
Symmetry-distinct sites (fractional):
Hg 0.0000 0.0511 0.2500 [4 per cell]
As 0.0000 0.3134 0.2500 [4 per cell]
Pb 0.0000 0.1897 0.2500 [4 per cell]
Pb 0.0000 0.4294 0.2500 [4 per cell]

---

Material: Dy3Ag3PtO8
Method: DFT, GGA-PBE
State: optimized geometry

Results
ρ: 8.23 g cm⁻³
electronic total energy: -6.32 eV per atom
formation energy without anion corrections: -1780 meV/atom

Lattice parameters (Å, degrees): 11.7514 6.7869 6.9546 90.00 124.42 90.00
Space group C2/m (No. 12)
Symmetry-distinct sites (fractional):
Dy 0.0000 0.0000 0.0000 [2 per cell]
Dy 0.2500 0.2500 0.0000 [4 per cell]
Ag 0.0000 0.5000 0.5000 [2 per cell]
Ag 0.2500 0.2500 0.5000 [4 per cell]
Pt 0.0000 0.5000 0.0000 [2 per cell]
O 0.0117 0.2729 0.8086 [8 per cell]
O 0.2154 0.5000 0.1913 [4 per cell]
O 0.2277 0.0000 0.1823 [4 per cell]

---

Material: EuHS
Method: DFT, GGA-PBE
State: optimized geometry

Results
ρ: 5.46 g cm⁻³
density of states at the Fermi level: 1.993 states/eV/atom
electronic total energy: -6.73 eV per atom

Lattice parameters (Å, degrees): 3.8591 3.8591 7.5560 90.00 90.00 90.00
Space group I4mm (No. 107)
Symmetry-distinct sites (fractional):
Eu 0.0000 0.0000 0.0000 [2 per cell]
H 0.0000 0.0000 0.3113 [2 per cell]
S 0.0000 0.0000 0.6193 [2 per cell]

---

Material: BaCeIr2
Method: DFT, GGA-PBE
State: optimized geometry

Results
energy relative to the elements: -1.55 eV per formula unit
ρ: 9.99 g cm⁻³
density of states at the Fermi level: 0.288 states/eV/atom
electronic total energy: -6.78 eV per atom

Lattice parameters (Å, degrees): 4.6104 4.6104 17.9356 90.00 90.00 120.00
Space group R-3m (No. 166, hexagonal axes)
Symmetry-distinct sites (fractional):
Ba 0.0000 0.0000 0.0000 [3 per cell]
Ce 0.0000 0.0000 0.5000 [3 per cell]
Ir 0.0000 0.0000 0.2038 [6 per cell]